This record from Alexandria describes crystalline PaNiRh at its relaxed geometry. The functional is GGA-PBE.

The electronic total energy comes out at -7.83 eV per atom. The magnetic moment comes out at 0.0 Bohr magnetons per cell. For the energy relative to the elements, the calculation gives -84 kJ/mol of formula units. Its crystal system is orthorhombic.

The structure belongs to space group Pmmn (No. 59, origin choice 2); the cell edges are 3.5796, 3.7276 and 8.6562 Å and the angles 90.00°, 90.00° and 90.00°. The inequivalent atoms are Pa at (0.2500, 0.2500, 0.2370), Ni at (0.2500, 0.7500, 0.9964) and Rh at (0.2500, 0.7500, 0.5535).